GGA-PBE GdInHg, relaxed; raw total energy = -6.127 eV per atom; total magnetization = 2.356 μB/atom
1.0
-0.1232 4.3749 -2.2255
-4.2635 2.3849 -0.4919
-0.8563 4.0636 2.6194
Gd Hg In
1 1 1
direct
0.5000 0.5000 0.5000
0.2500 0.2500 0.2500
0.0000 0.0000 0.0000